Entry 1:
The following is a GGA-PBE calculation of a geometry-optimized KSiPb2 structure, from Alexandria.

Values from the calculation:
Its formation energy (no corrections) is 0.141 eV/atom. The total magnetization comes out at 0.000 Bohr magnetons per cell. The volume comes out at 131 Å³/f.u.

abc: 5.073 5.073 7.101
angles: 76.19 76.19 48.10
Sites, in units of the cell vectors:
1 Pb 0.471 0.471 0.588
2 Pb 0.029 0.029 0.912
3 Si 0.750 0.750 0.750
4 K 0.250 0.250 0.250

***

Entry 2:
The following is a GGA-PBE calculation of a geometry-optimized CeYTm2 structure, from Alexandria.

Values from the calculation:
The calculation puts the calculated formation energy at 71 meV/atom. The total magnetization comes out at 0.502 Bohr magnetons per cell. The volume comes out at 122 Å³/f.u. The energy above the lowest structure with this stoichiometry comes out at 44 meV/atom.

abc: 4.935 4.982 4.982
angles: 90.00 90.00 90.00
Sites, in units of the cell vectors:
1 Tm 0.000 0.500 0.000
2 Tm 0.000 0.000 0.500
3 Ce 0.500 0.500 0.500
4 Y 0.500 0.000 0.000

***

Entry 3:
The following is a GGA-PBE calculation of a geometry-optimized TbPrSm2Dy6 structure, from Alexandria.

Values from the calculation:
The calculation puts the calculated formation energy at 119 meV/atom. The total magnetization comes out at 0.000 Bohr magnetons per cell. The volume comes out at 329 Å³/f.u.

abc: 9.686 8.808 8.808
angles: 117.94 94.23 94.23
Sites, in units of the cell vectors:
1 Sm 0.956 0.702 0.804
2 Sm 0.544 0.196 0.298
3 Sm 0.456 0.804 0.702
4 Sm 0.044 0.298 0.196
5 Pr 0.750 0.021 0.979
6 Pr 0.250 0.979 0.021
7 Dy 0.620 0.492 0.706
8 Dy 0.057 0.123 0.743
9 Dy 0.380 0.508 0.294
10 Dy 0.557 0.743 0.123
11 Dy 0.316 0.979 0.430
12 Dy 0.943 0.877 0.257
13 Dy 0.120 0.706 0.492
14 Dy 0.684 0.021 0.570
15 Dy 0.443 0.257 0.877
16 Dy 0.816 0.430 0.979
17 Dy 0.184 0.570 0.021
18 Dy 0.880 0.294 0.508
19 Tb 0.750 0.592 0.408
20 Tb 0.250 0.408 0.592

***

Entry 4:
The following is a GGA-PBE calculation of a geometry-optimized BaHfZrTa2 structure, from Alexandria.

Values from the calculation:
The calculation puts the calculated formation energy at 1390 meV/atom. The total magnetization comes out at 0.000 Bohr magnetons per cell. The volume comes out at 143 Å³/f.u.

abc: 5.153 5.388 5.153
angles: 90.00 90.00 90.00
Sites, in units of the cell vectors:
1 Ta 0.500 0.000 0.000
2 Ta 0.000 0.000 0.500
3 Zr 0.000 0.500 0.000
4 Ba 0.500 0.500 0.500
5 Hf 0.000 0.000 0.000

***

Entry 5:
The following is a GGA-PBE calculation of a geometry-optimized LaMg2Ga structure, from Alexandria.

Values from the calculation:
The calculation puts the calculated formation energy at 100 meV/atom. The total magnetization comes out at 0.001 Bohr magnetons per cell. The volume comes out at 101 Å³/f.u. The energy above the lowest structure with this stoichiometry comes out at 431 meV/atom.

abc: 3.216 3.216 11.383
angles: 81.88 81.88 60.00
Sites, in units of the cell vectors:
1 Mg 0.099 0.099 0.702
2 Mg 0.901 0.901 0.298
3 Ga 0.500 0.500 0.500
4 La 0.000 0.000 0.000

***

Entry 6:
The following is a GGA-PBE calculation of a geometry-optimized CdFe2Cu structure, from Alexandria.

Values from the calculation:
The calculation puts the calculated formation energy at 286 meV/atom. The total magnetization comes out at 5.106 Bohr magnetons per cell. The volume comes out at 56 Å³/f.u.

abc: 4.815 4.815 4.815
angles: 134.58 134.37 66.35
Sites, in units of the cell vectors:
1 Cd 0.750 0.250 0.500
2 Fe 0.500 0.500 0.000
3 Fe 0.000 0.000 0.000
4 Cu 0.250 0.750 0.500

***

Entry 7:
The following is a GGA-PBE calculation of a geometry-optimized BeCd2Cl structure, from Alexandria.

Values from the calculation:
Its formation energy (no corrections) is 0.508 eV/atom. The total magnetization comes out at 0.000 Bohr magnetons per cell. The volume comes out at 90 Å³/f.u. The energy above the lowest structure with this stoichiometry comes out at 693 meV/atom.

abc: 5.029 5.029 5.029
angles: 60.00 60.00 60.00
Sites, in units of the cell vectors:
1 Cl 0.750 0.750 0.750
2 Cd 0.250 0.250 0.250
3 Cd 0.000 0.000 0.000
4 Be 0.500 0.500 0.500

***

Entry 8:
The following is a GGA-PBE calculation of a geometry-optimized Sm4AlBr5 structure, from Alexandria.

Values from the calculation:
Its formation energy (no corrections) is -1.333 eV/atom. The total magnetization comes out at 0.000 Bohr magnetons per cell. The volume comes out at 328 Å³/f.u.

abc: 4.084 8.769 9.628
angles: 102.65 102.25 90.00
Sites, in units of the cell vectors:
1 Br 0.828 0.158 0.655
2 Br 0.167 0.330 0.334
3 Br 0.833 0.670 0.666
4 Br 0.172 0.842 0.345
5 Br 0.500 0.500 0.000
6 Al 0.500 0.000 0.000
7 Sm 0.001 0.236 0.001
8 Sm 0.999 0.764 0.999
9 Sm 0.346 0.918 0.692
10 Sm 0.654 0.082 0.308